Material: CaPrGaGe
Method: DFT, GGA-PBE
State: optimized geometry

The structure in POSCAR format:
```
CaPrGaGe
1.0
4.1372 0.0000 0.0000
0.0000 2.2614 5.5672
0.0000 -2.2614 5.5672
Ca Pr Ga Ge
1 1 1 1
Direct
0.0000 0.0000 0.0000
0.5000 0.2777 0.2777
0.5000 0.5644 0.5644
0.0000 0.7139 0.7139
```

ρ (g cm⁻³): 5.154
Total magnetization (μB per formula unit): 0.00
DOS at the Fermi energy (states/eV/atom): 0.494
DFT formation energy (eV/atom): -0.68
Space-group type: No. 38
Total DFT energy (no corrections) (Ha/atom): -0.1574
E above lowest polymorph (meV per atom): 0


Material: Ac2TbTe
Method: DFT, GGA-PBE
State: optimized geometry

The structure in POSCAR format:
```
Ac2TbTe
1.0
2.0788 1.2002 10.6835
-2.0788 1.2002 10.6835
0.0000 -2.4004 10.6835
Ac Tb Te
2 1 1
Direct
0.2403 0.2403 0.2403
0.7597 0.7597 0.7597
0.0000 0.0000 0.0000
0.5000 0.5000 0.5000
```

ρ (g cm⁻³): 7.689
Total magnetization (μB per formula unit): 0.00
Energy relative to the elements, uncorrected (meV/atom): -521
DOS at the Fermi energy (states/eV/atom): 1.061
Space-group type: No. 166
Total DFT energy (no corrections) (Ha/atom): -0.1660
E above lowest polymorph (meV per atom): 26


Material: Pr3Ga2Au
Method: DFT, GGA-PBE
State: optimized geometry

The structure in POSCAR format:
```
Pr3Ga2Au
1.0
3.6999 0.0000 0.0000
0.0000 3.6999 0.0000
0.0000 0.0000 11.4102
Pr Ga Au
3 2 1
Direct
0.0000 0.0000 0.0000
0.0000 0.0000 0.3308
0.0000 0.0000 0.6692
0.5000 0.5000 0.1676
0.5000 0.5000 0.8324
0.5000 0.5000 0.5000
```

ρ (g cm⁻³): 8.070
Total magnetization (μB per formula unit): 0.00
DOS at the Fermi energy (states/eV/atom): 1.022
DFT formation energy (eV/atom): -0.60
Space-group type: No. 123
Total DFT energy (no corrections) (Ha/atom): -0.1669


Material: NaMg6Mn
Method: DFT, GGA-PBE
State: optimized geometry

The structure in POSCAR format:
```
NaMg6Mn
1.0
5.0674 0.0000 0.0000
0.0000 3.2258 5.5066
0.0000 -3.2258 5.5066
Na Mg Mn
1 6 1
Direct
0.0000 0.0000 0.0000
0.0000 0.0014 0.5022
0.0000 0.5022 0.0014
0.5000 0.1713 0.1713
0.5000 0.1820 0.6582
0.5000 0.6582 0.1820
0.5000 0.6637 0.6637
0.0000 0.4986 0.4986
```

ρ (g cm⁻³): 2.064
Total magnetization (μB per formula unit): 4.11
DOS at the Fermi energy (states/eV/atom): 0.496
DFT formation energy (eV/atom): 0.17
Space-group type: No. 38
Total DFT energy (no corrections) (Ha/atom): -0.0858


Material: VReB2H
Method: DFT, GGA-PBE
State: optimized geometry

The structure in POSCAR format:
```
VReB2H
1.0
3.8541 0.0000 0.0000
0.0000 3.8541 0.0000
0.0000 0.0000 4.6333
V Re B H
1 1 2 1
Direct
0.0000 0.0000 0.0000
0.0000 0.0000 0.5000
0.0000 0.5000 0.0000
0.5000 0.0000 0.0000
0.5000 0.5000 0.5000
```

ρ (g cm⁻³): 6.268
Total magnetization (μB per formula unit): 0.97
DOS at the Fermi energy (states/eV/atom): 0.446
Space-group type: No. 123
Total DFT energy (no corrections) (Ha/atom): -0.2042


Material: Ca2TaW
Method: DFT, GGA-PBE
State: optimized geometry

The structure in POSCAR format:
```
Ca2TaW
1.0
1.5230 0.8793 10.9798
-1.5230 0.8793 10.9798
0.0000 -1.7586 10.9798
Ca Ta W
2 1 1
Direct
0.2468 0.2468 0.2468
0.7532 0.7532 0.7532
0.0000 0.0000 0.0000
0.5000 0.5000 0.5000
```

ρ (g cm⁻³): 8.375
Total magnetization (μB per formula unit): 0.00
DOS at the Fermi energy (states/eV/atom): 1.095
DFT formation energy (eV/atom): 0.95
Space-group type: No. 166
Total DFT energy (no corrections) (Ha/atom): -0.2297
E above lowest polymorph (meV per atom): 553


Material: AcPmPb2
Method: DFT, GGA-PBE
State: optimized geometry

The structure in POSCAR format:
```
AcPmPb2
1.0
3.7608 0.0000 0.0000
0.0000 3.7608 0.0000
0.0000 0.0000 9.2275
Ac Pm Pb
1 1 2
Direct
0.0000 0.0000 0.0000
0.0000 0.0000 0.5000
0.5000 0.5000 0.2627
0.5000 0.5000 0.7373
```

ρ (g cm⁻³): 10.005
Total magnetization (μB per formula unit): 0.00
DOS at the Fermi energy (states/eV/atom): 0.876
DFT formation energy (eV/atom): -0.49
Space-group type: No. 123
Total DFT energy (no corrections) (Ha/atom): -0.1674
E above lowest polymorph (meV per atom): 0


Material: Er2MnRh
Method: DFT, GGA-PBE
State: optimized geometry

The structure in POSCAR format:
```
Er2MnRh
1.0
3.4321 0.0000 0.0000
0.0000 3.4321 0.0000
0.0000 0.0000 6.9159
Er Mn Rh
2 1 1
Direct
0.0000 0.0000 0.2399
0.0000 0.0000 0.7601
0.5000 0.5000 0.5000
0.5000 0.5000 0.0000
```

ρ (g cm⁻³): 10.036
Total magnetization (μB per formula unit): 2.76
DOS at the Fermi energy (states/eV/atom): 0.887
DFT formation energy (eV/atom): -0.37
Space-group type: No. 123
Total DFT energy (no corrections) (Ha/atom): -0.2493


What did the fifth record say?
Material: VReB2H
Method: DFT, GGA-PBE
State: optimized geometry

The structure in POSCAR format:
```
VReB2H
1.0
3.8541 0.0000 0.0000
0.0000 3.8541 0.0000
0.0000 0.0000 4.6333
V Re B H
1 1 2 1
Direct
0.0000 0.0000 0.0000
0.0000 0.0000 0.5000
0.0000 0.5000 0.0000
0.5000 0.0000 0.0000
0.5000 0.5000 0.5000
```

ρ (g cm⁻³): 6.268
Total magnetization (μB per formula unit): 0.97
DOS at the Fermi energy (states/eV/atom): 0.446
Space-group type: No. 123
Total DFT energy (no corrections) (Ha/atom): -0.2042